First-principles (PBE) data for an optimized crystal structure of TeWAu2, as listed in Alexandria via LeMat-Bulk.

a b c (Å): 4.0726 4.0726 4.6057
angles (deg): 90.00 90.00 90.00
Positions (direct):
Te 0.0000 0.0000 0.0000
W 0.5000 0.5000 0.0000
Au 0.0000 0.5000 0.5000
Au 0.5000 0.0000 0.5000

Output
As for the calculated volume: 19.10 Å³ per atom. Its density is 15.33 g cm⁻³. The formation energy from raw total energies comes out at 292 kJ/mol of formula units.

First-principles (PBE) data for an optimized crystal structure of Ba2PrPb, as listed in Alexandria via LeMat-Bulk.

a b c (Å): 3.9796 3.9796 40.7173
angles (deg): 90.00 90.00 120.00
Positions (direct):
Ba 0.0000 0.0000 0.0871
Ba 0.0000 0.0000 0.9129
Ba 0.3333 0.6667 0.5796
Ba 0.3333 0.6667 0.7537
Ba 0.6667 0.3333 0.2463
Ba 0.6667 0.3333 0.4204
Pr 0.0000 0.0000 0.5000
Pr 0.3333 0.6667 0.1667
Pr 0.6667 0.3333 0.8333
Pb 0.0000 0.0000 0.0000
Pb 0.3333 0.6667 0.6667
Pb 0.6667 0.3333 0.3333

Output
Its formation energy from the elements is 0.205 eV/atom. As for the calculated volume: 46.54 Å³ per atom. Its density is 5.56 g cm⁻³.

First-principles (PBE) data for an optimized crystal structure of YInSe3, as listed in Alexandria via LeMat-Bulk.

a b c (Å): 9.3076 9.3076 6.8252
angles (deg): 92.55 92.55 84.21
Positions (direct):
Y 0.1455 0.3456 0.3412
Y 0.3456 0.1455 0.8412
Y 0.6544 0.8545 0.1588
Y 0.8545 0.6544 0.6588
In 0.1608 0.8392 0.2500
In 0.4069 0.5931 0.7500
In 0.5931 0.4069 0.2500
In 0.8392 0.1608 0.7500
Se 0.0630 0.2538 0.9389
Se 0.1478 0.6389 0.5293
Se 0.2538 0.0630 0.4389
Se 0.3297 0.4293 0.0603
Se 0.3611 0.8522 0.9707
Se 0.4293 0.3297 0.5603
Se 0.5707 0.6703 0.4397
Se 0.6389 0.1478 0.0293
Se 0.6703 0.5707 0.9397
Se 0.7462 0.9370 0.5611
Se 0.8522 0.3611 0.4707
Se 0.9370 0.7462 0.0611

Output
As for the calculated volume: 29.36 Å³ per atom. Its density is 4.98 g cm⁻³. The formation energy from raw total energies comes out at -529 kJ/mol of formula units.

First-principles (PBE) data for an optimized crystal structure of SrY3N, as listed in Alexandria via LeMat-Bulk.

a b c (Å): 5.0905 5.0905 5.0905
angles (deg): 90.00 90.00 90.00
Positions (direct):
Sr 0.0000 0.0000 0.0000
Y 0.0000 0.5000 0.5000
Y 0.5000 0.0000 0.5000
Y 0.5000 0.5000 0.0000
N 0.5000 0.5000 0.5000

Output
As for the calculated volume: 26.38 Å³ per atom. Its density is 4.64 g cm⁻³. The formation energy from raw total energies comes out at -162 kJ/mol of formula units.

First-principles (PBE) data for an optimized crystal structure of VFeCo, as listed in Alexandria via LeMat-Bulk.

a b c (Å): 4.0325 4.0325 2.4876
angles (deg): 90.00 90.00 120.00
Positions (direct):
V 0.0000 0.0000 0.0000
Fe 0.3333 0.6667 0.3056
Co 0.6667 0.3333 0.6625

Output
Its formation energy from the elements is -0.063 eV/atom. As for the calculated volume: 11.68 Å³ per atom. Its density is 7.86 g cm⁻³.

First-principles (PBE) data for an optimized crystal structure of Mg2ScBr, as listed in Alexandria via LeMat-Bulk.

a b c (Å): 3.3174 5.1651 10.9163
angles (deg): 90.00 90.00 90.00
Positions (direct):
Mg 0.0000 0.0000 0.2453
Mg 0.0000 0.0000 0.7547
Mg 0.5000 0.5000 0.2547
Mg 0.5000 0.5000 0.7453
Sc 0.0000 0.5000 0.0000
Sc 0.5000 0.0000 0.5000
Br 0.0000 0.5000 0.5000
Br 0.5000 0.0000 0.0000

Output
As for the calculated volume: 23.38 Å³ per atom. Its density is 3.08 g cm⁻³. The formation energy from raw total energies comes out at -90 kJ/mol of formula units.

First-principles (PBE) data for an optimized crystal structure of AcPm2Tl, as listed in Alexandria via LeMat-Bulk.

a b c (Å): 5.1148 5.1148 5.0610
angles (deg): 90.00 90.00 90.00
Positions (direct):
Ac 0.0000 0.0000 0.0000
Pm 0.0000 0.5000 0.5000
Pm 0.5000 0.0000 0.5000
Tl 0.5000 0.5000 0.0000

Output
Its formation energy from the elements is -0.150 eV/atom. As for the calculated volume: 33.10 Å³ per atom. Its density is 9.05 g cm⁻³.

First-principles (PBE) data for an optimized crystal structure of ErAlNiHg, as listed in Alexandria via LeMat-Bulk.

a b c (Å): 6.6727 6.6727 6.6727
angles (deg): 90.00 90.00 90.00
Positions (direct):
Er 0.0000 0.0000 0.0000
Er 0.0000 0.5000 0.5000
Er 0.5000 0.0000 0.5000
Er 0.5000 0.5000 0.0000
Al 0.0000 0.0000 0.5000
Al 0.0000 0.5000 0.0000
Al 0.5000 0.0000 0.0000
Al 0.5000 0.5000 0.5000
Ni 0.2500 0.2500 0.2500
Ni 0.2500 0.7500 0.7500
Ni 0.7500 0.2500 0.7500
Ni 0.7500 0.7500 0.2500
Hg 0.2500 0.2500 0.7500
Hg 0.2500 0.7500 0.2500
Hg 0.7500 0.2500 0.2500
Hg 0.7500 0.7500 0.7500

Output
Its formation energy from the elements is -0.301 eV/atom. As for the calculated volume: 18.57 Å³ per atom. Its density is 10.14 g cm⁻³.

First-principles (PBE) data for an optimized crystal structure of Nd2SiSnPt6, as listed in Alexandria via LeMat-Bulk.

a b c (Å): 5.5944 8.6702 8.6264
angles (deg): 90.00 90.00 90.00
Positions (direct):
Nd 0.2500 0.0035 0.2337
Nd 0.2500 0.4965 0.2337
Nd 0.7500 0.5035 0.7663
Nd 0.7500 0.9965 0.7663
Si 0.2500 0.7500 0.7373
Si 0.7500 0.2500 0.2627
Sn 0.2500 0.2500 0.7825
Sn 0.7500 0.7500 0.2175
Pt 0.0015 0.2500 0.5004
Pt 0.0060 0.7500 0.9626
Pt 0.2500 0.5023 0.6042
Pt 0.2500 0.9977 0.6042
Pt 0.4940 0.7500 0.9626
Pt 0.4985 0.2500 0.5004
Pt 0.5015 0.7500 0.4996
Pt 0.5060 0.2500 0.0374
Pt 0.7500 0.0023 0.3958
Pt 0.7500 0.4977 0.3958
Pt 0.9940 0.2500 0.0374
Pt 0.9985 0.7500 0.4996

Output
As for the calculated volume: 20.92 Å³ per atom. Its density is 12.75 g cm⁻³. The formation energy from raw total energies comes out at -860 kJ/mol of formula units.

First-principles (PBE) data for an optimized crystal structure of HfMgTi2Nb, as listed in Alexandria via LeMat-Bulk.

a b c (Å): 4.6600 4.6600 5.0068
angles (deg): 90.00 90.00 90.00
Positions (direct):
Hf 0.0000 0.0000 0.0000
Mg 0.0000 0.0000 0.5000
Ti 0.0000 0.5000 0.5000
Ti 0.5000 0.0000 0.5000
Nb 0.5000 0.5000 0.0000

Output
Its formation energy from the elements is 1.435 eV/atom. As for the calculated volume: 21.75 Å³ per atom. Its density is 5.98 g cm⁻³.

First-principles (PBE) data for an optimized crystal structure of SmThBiTe2, as listed in Alexandria via LeMat-Bulk.

a b c (Å): 4.6766 4.6766 15.4291
angles (deg): 90.00 90.00 90.00
Positions (direct):
Sm 0.0000 0.0000 0.0000
Sm 0.5000 0.5000 0.5000
Th 0.0000 0.0000 0.2296
Th 0.5000 0.5000 0.7296
Bi 0.0000 0.0000 0.6242
Bi 0.5000 0.5000 0.1242
Te 0.0000 0.5000 0.3659
Te 0.0000 0.5000 0.8659
Te 0.5000 0.0000 0.3659
Te 0.5000 0.0000 0.8659

Output
As for the calculated volume: 33.74 Å³ per atom. Its density is 8.33 g cm⁻³. The formation energy from raw total energies comes out at -311 kJ/mol of formula units.

First-principles (PBE) data for an optimized crystal structure of LaY2ReO8, as listed in Alexandria via LeMat-Bulk.

a b c (Å): 5.0797 5.0797 6.9623
angles (deg): 90.00 90.00 90.20
Positions (direct):
La 0.0000 0.0000 0.0000
Y 0.5000 0.5000 0.2501
Y 0.5000 0.5000 0.7499
Re 0.0000 0.0000 0.5000
O 0.1838 0.1838 0.3023
O 0.1838 0.1838 0.6977
O 0.2655 0.7345 0.5000
O 0.3157 0.6843 0.0000
O 0.6843 0.3157 0.0000
O 0.7345 0.2655 0.5000
O 0.8162 0.8162 0.3023
O 0.8162 0.8162 0.6977

Output
As for the calculated volume: 14.97 Å³ per atom. Its density is 5.83 g cm⁻³. The formation energy from raw total energies comes out at -3210 kJ/mol of formula units.

First-principles (PBE) data for an optimized crystal structure of SiAg2C2, as listed in Alexandria via LeMat-Bulk.

a b c (Å): 3.9286 3.9286 9.2884
angles (deg): 90.00 90.00 90.00
Positions (direct):
Si 0.0000 0.0000 0.0000
Si 0.5000 0.5000 0.5000
Ag 0.0000 0.5000 0.2500
Ag 0.0000 0.5000 0.7500
Ag 0.5000 0.0000 0.2500
Ag 0.5000 0.0000 0.7500
C 0.0000 0.0000 0.4290
C 0.0000 0.0000 0.5710
C 0.5000 0.5000 0.0710
C 0.5000 0.5000 0.9290

Output
As for the calculated volume: 14.34 Å³ per atom. Its density is 6.20 g cm⁻³. The formation energy from raw total energies comes out at 612 kJ/mol of formula units.

First-principles (PBE) data for an optimized crystal structure of CeThPa2, as listed in Alexandria via LeMat-Bulk.

a b c (Å): 3.3230 3.3230 33.8674
angles (deg): 90.00 90.00 120.00
Positions (direct):
Ce 0.0000 0.0000 0.0000
Ce 0.3333 0.6667 0.6667
Ce 0.6667 0.3333 0.3333
Th 0.0000 0.0000 0.1676
Th 0.3333 0.6667 0.8342
Th 0.6667 0.3333 0.5009
Pa 0.0000 0.0000 0.5847
Pa 0.0000 0.0000 0.7499
Pa 0.3333 0.6667 0.2514
Pa 0.3333 0.6667 0.4166
Pa 0.6667 0.3333 0.0832
Pa 0.6667 0.3333 0.9181

Output
Its formation energy from the elements is 0.109 eV/atom. As for the calculated volume: 26.99 Å³ per atom. Its density is 12.83 g cm⁻³.

First-principles (PBE) data for an optimized crystal structure of NaUGe2, as listed in Alexandria via LeMat-Bulk.

a b c (Å): 5.3595 5.3595 2.8650
angles (deg): 90.00 90.00 90.00
Positions (direct):
Na 0.0000 0.0000 0.0000
U 0.5000 0.5000 0.0000
Ge 0.0000 0.5000 0.5000
Ge 0.5000 0.0000 0.5000

Output
Its formation energy from the elements is -0.140 eV/atom. As for the calculated volume: 20.57 Å³ per atom. Its density is 8.20 g cm⁻³.

First-principles (PBE) data for an optimized crystal structure of Zr2TcH, as listed in Alexandria via LeMat-Bulk.

a b c (Å): 6.2169 6.2169 6.6342
angles (deg): 90.00 90.00 90.00
Positions (direct):
Zr 0.1756 0.7500 0.1250
Zr 0.2500 0.1756 0.8750
Zr 0.2500 0.3244 0.3750
Zr 0.3244 0.7500 0.6250
Zr 0.6756 0.2500 0.6250
Zr 0.7500 0.6756 0.3750
Zr 0.7500 0.8244 0.8750
Zr 0.8244 0.2500 0.1250
Tc 0.0000 0.0000 0.5000
Tc 0.0000 0.5000 0.7500
Tc 0.5000 0.0000 0.2500
Tc 0.5000 0.5000 0.0000
H 0.0000 0.0000 0.0000
H 0.0000 0.5000 0.2500
H 0.5000 0.0000 0.7500
H 0.5000 0.5000 0.5000

Output
As for the calculated volume: 16.03 Å³ per atom. For the final energy, the calculation gives -123.9 eV per cell. Its density is 7.29 g cm⁻³.

First-principles (PBE) data for an optimized crystal structure of Hg3MoP, as listed in Alexandria via LeMat-Bulk.

a b c (Å): 5.3232 5.3232 5.3232
angles (deg): 90.00 90.00 90.00
Positions (direct):
Hg 0.0000 0.0000 0.5000
Hg 0.0000 0.5000 0.0000
Hg 0.5000 0.0000 0.0000
Mo 0.0000 0.0000 0.0000
P 0.5000 0.5000 0.5000

Output
Its formation energy from the elements is 1.403 eV/atom. As for the calculated volume: 30.17 Å³ per atom. Its density is 8.02 g cm⁻³.

First-principles (PBE) data for an optimized crystal structure of K4Tl3Te5, as listed in Alexandria via LeMat-Bulk.

a b c (Å): 10.5551 10.5551 8.3844
angles (deg): 107.83 107.83 32.59
Positions (direct):
K 0.0967 0.0967 0.4107
K 0.1562 0.1562 0.9281
K 0.8438 0.8438 0.0719
K 0.9033 0.9033 0.5893
Tl 0.2792 0.2792 0.3670
Tl 0.5000 0.5000 0.0000
Tl 0.7208 0.7208 0.6330
Te 0.0000 0.0000 0.0000
Te 0.2999 0.2999 0.7566
Te 0.4366 0.4366 0.3629
Te 0.5634 0.5634 0.6371
Te 0.7001 0.7001 0.2434

Output
As for the calculated volume: 39.74 Å³ per atom. Its density is 4.90 g cm⁻³. The formation energy from raw total energies comes out at -708 kJ/mol of formula units.

First-principles (PBE) data for an optimized crystal structure of LaPm2PrMg, as listed in Alexandria via LeMat-Bulk.

a b c (Å): 5.0244 6.2694 11.4532
angles (deg): 90.22 90.02 113.58
Positions (direct):
La 0.0465 0.0913 0.3464
La 0.9535 0.9087 0.6536
Pm 0.1456 0.2914 0.0459
Pm 0.3458 0.6920 0.4479
Pm 0.6542 0.3080 0.5521
Pm 0.8544 0.7086 0.9541
Pr 0.2528 0.5064 0.7579
Pr 0.7472 0.4936 0.2421
Mg 0.4465 0.8922 0.1386
Mg 0.5535 0.1078 0.8614

Output
Its formation energy from the elements is 0.019 eV/atom. As for the calculated volume: 33.06 Å³ per atom. Its density is 5.97 g cm⁻³.

First-principles (PBE) data for an optimized crystal structure of MnFe4Ir, as listed in Alexandria via LeMat-Bulk.

a b c (Å): 9.2166 2.8916 5.7843
angles (deg): 90.00 108.22 90.00
Positions (direct):
Mn 0.0000 0.0000 0.0000
Mn 0.5000 0.5000 0.0000
Fe 0.1697 0.5000 0.8420
Fe 0.1723 0.5000 0.3293
Fe 0.3277 0.0000 0.6707
Fe 0.3303 0.0000 0.1580
Fe 0.6697 0.0000 0.8420
Fe 0.6723 0.0000 0.3293
Fe 0.8277 0.5000 0.6707
Fe 0.8303 0.5000 0.1580
Ir 0.0000 0.0000 0.5000
Ir 0.5000 0.5000 0.5000

Output
Its formation energy from the elements is 0.032 eV/atom. As for the calculated volume: 12.20 Å³ per atom. Its density is 10.67 g cm⁻³.